(1)
Material: Na2PaPdO4
Method: DFT, PBE-GGA
State: optimized geometry

* formation energy without anion corrections: -189 kJ/mol of atoms

Cell: 5.3827 5.3827 5.3827 Å, 111.54 111.54 105.40°
Closest atoms and distances in Å follow each position.
Fractional coordinates of all 8 atoms:
1 Na 0.0000 0.0000 0.0000  4 O 2.27
2 Na 0.7500 0.2500 0.5000  4 O 2.43
3 Pa 0.2500 0.7500 0.5000  4 O 2.10
4 Pd 0.5000 0.5000 0.0000  4 O 2.19
5 O 0.2226 0.7130 0.8660  1 Pa 2.10, 1 Pd 2.19, 1 Na 2.27
6 O 0.2870 0.1530 0.5096  1 Pa 2.10, 1 Pd 2.19, 1 Na 2.27
7 O 0.6433 0.7774 0.4904  1 Pa 2.10, 1 Pd 2.19, 1 Na 2.27
8 O 0.8470 0.3567 0.1340  1 Pa 2.10, 1 Pd 2.19, 1 Na 2.27

---

(2)
Material: V2CrGe4
Method: DFT, PBE-GGA
State: optimized geometry

* formation enthalpy at 0 K: 0.428 eV per atom

Cell: 6.9157 6.9157 6.9157 Å, 141.15 141.15 56.11°
Closest atoms and distances in Å follow each position.
Fractional coordinates of all 7 atoms:
1 V 0.0937 0.0937 0.0000  1 V 2.29, 1 Ge 2.56
2 V 0.9063 0.9063 0.0000  1 V 2.29, 1 Ge 2.56
3 Cr 0.5000 0.5000 0.0000  6 Ge 2.30-2.40
4 Ge 0.0000 0.5000 0.5000  2 Cr 2.30, 4 V 2.57
5 Ge 0.3031 0.3031 0.0000  1 Cr 2.40, 1 V 2.56
6 Ge 0.5000 0.0000 0.5000  2 Cr 2.30, 4 V 2.57
7 Ge 0.6969 0.6969 0.0000  1 Cr 2.40, 1 V 2.56

---

(3)
Material: IrRuPb4
Method: DFT, PBE-GGA
State: optimized geometry

* formation enthalpy at 0 K: 1.351 eV per atom

Cell: 6.1013 6.1013 6.1013 Å, 60.00 60.00 60.00°
Closest atoms and distances in Å follow each position.
Fractional coordinates of all 6 atoms:
1 Ir 0.0000 0.0000 0.0000  12 Pb 3.58, 4 Ru 3.74
2 Ru 0.2500 0.2500 0.2500  12 Pb 3.58, 4 Ir 3.74
3 Pb 0.1245 0.6252 0.6252  6 Pb 3.05-3.06
4 Pb 0.6252 0.1245 0.6252  6 Pb 3.05-3.06
5 Pb 0.6252 0.6252 0.1245  6 Pb 3.05-3.06
6 Pb 0.6252 0.6252 0.6252  6 Pb 3.05-3.06

---

(4)
Material: Zn2CdGa
Method: DFT, PBE-GGA
State: optimized geometry

* formation enthalpy at 0 K: 0.103 eV per atom

Cell: 4.7261 4.7261 4.7261 Å, 60.00 60.00 60.00°
Closest atoms and distances in Å follow each position.
Fractional coordinates of all 4 atoms:
1 Zn 0.2500 0.2500 0.2500  4 Cd 2.89, 4 Ga 2.89
2 Zn 0.7500 0.7500 0.7500  4 Cd 2.89, 4 Ga 2.89
3 Cd 0.0000 0.0000 0.0000  8 Zn 2.89
4 Ga 0.5000 0.5000 0.5000  8 Zn 2.89

---

(5)
Material: Pm4Sm2TmSc
Method: DFT, PBE-GGA
State: optimized geometry

* formation enthalpy at 0 K: 0.029 eV per atom

Cell: 5.0730 5.0912 10.0053 Å, 90.00 90.05 90.00°
Closest atoms and distances in Å follow each position.
Fractional coordinates of all 8 atoms:
1 Pm 0.9996 0.0000 0.2457  2 Sc 3.53-3.54, 4 Sm 3.54-3.59, 4 Pm 3.59, 2 Tm 3.60
2 Pm 0.0004 0.0000 0.7543  2 Sc 3.53-3.54, 4 Sm 3.54-3.59, 4 Pm 3.59, 2 Tm 3.60
3 Pm 0.4998 0.5000 0.2466  4 Sm 3.54-3.59, 2 Sc 3.54, 2 Tm 3.59, 4 Pm 3.59
4 Pm 0.5002 0.5000 0.7534  4 Sm 3.54-3.59, 2 Sc 3.54, 2 Tm 3.59, 4 Pm 3.59
5 Sm 0.0000 0.5000 0.0000  8 Pm 3.54, 4 Sc 3.59
6 Sm 0.5000 0.0000 0.5000  8 Pm 3.59, 4 Tm 3.59
7 Tm 0.0000 0.5000 0.5000  8 Pm 3.59-3.60, 4 Sm 3.59
8 Sc 0.5000 0.0000 0.0000  8 Pm 3.53-3.54, 4 Sm 3.59

---

(6)
Material: CuBPt4
Method: DFT, PBE-GGA
State: optimized geometry

* formation enthalpy at 0 K: -0.064 eV per atom

Cell: 5.6444 5.6444 6.6394 Å, 103.02 103.02 111.00°
Closest atoms and distances in Å follow each position.
Fractional coordinates of all 12 atoms:
1 Cu 0.1726 0.8274 0.7500  8 Pt 2.61-2.74, 1 B 2.70
2 Cu 0.8274 0.1726 0.2500  8 Pt 2.61-2.74, 1 B 2.70
3 B 0.4624 0.5376 0.7500  6 Pt 2.09-2.20
4 B 0.5376 0.4624 0.2500  6 Pt 2.09-2.20
5 Pt 0.0708 0.2377 0.6594  1 B 2.09
6 Pt 0.2377 0.0708 0.1594  1 B 2.09
7 Pt 0.3011 0.5816 0.4328  2 B 2.17-2.20
8 Pt 0.4184 0.6989 0.0672  2 B 2.17-2.20
9 Pt 0.5816 0.3011 0.9328  2 B 2.17-2.20
10 Pt 0.6989 0.4184 0.5672  2 B 2.17-2.20
11 Pt 0.7623 0.9292 0.8406  1 B 2.09
12 Pt 0.9292 0.7623 0.3406  1 B 2.09

---

no.,DOS at the Fermi energy (states/eV per atom)
1,0.0800
2,0.6940
3,1.5343
4,0.2158
5,1.4114
6,0.6739